An optimized crystal structure of Dy8Tm3Sc. Source: the Alexandria database, functional PBE.

Unit cell a=7.5861 b=7.5861 c=9.2831 alpha=114.12 beta=114.12 gamma=90.00
Fractional positions:
Dy 0.1235 0.1235 0.7538
Dy 0.3698 0.3698 0.2462
Dy 0.8765 0.8765 0.2462
Dy 0.8765 0.3698 0.2462
Tm 0.2500 0.7500 0.5000
Sc 0.0000 0.0000 0.0000
Dy 0.1235 0.6302 0.7538
Dy 0.6302 0.1235 0.7538
Dy 0.3698 0.8765 0.2462
Tm 0.5000 0.5000 0.0000
Dy 0.6302 0.6302 0.7538
Tm 0.7500 0.2500 0.5000

Values from the calculation:
Total DFT energy (no corrections), eV/atom: -4.00
Space group: No. 139
N(E_F), states/eV per atom: 1.259
Energy of formation from the pure elements, eV/atom: 0.7121
Calculated volume, Å³/f.u.: 436.0